A:
## Pr2DyAl6 (PBE)

Data for a relaxed structure of Pr2DyAl6.

magnetic moment	0.00	μB/cell
SG	P6/mmm, No. 191
density of states at the Fermi level	0.50	states/eV/atom

Lattice parameters (Å, degrees): 3.6906 7.9690 7.9690 120.00 90.00 90.00
Fractional coordinates of all 9 atoms:
Pr 0.0000 0.3333 0.6667
Pr 0.0000 0.6667 0.3333
Al 0.5000 0.0000 0.3307
Al 0.5000 0.3307 0.0000
Al 0.5000 0.3307 0.3307
Al 0.5000 0.6693 0.6693
Al 0.5000 0.0000 0.6693
Al 0.5000 0.6693 0.0000
Dy 0.0000 0.0000 0.0000

B:
## Pr2DyAl6 (PBE)

Data for a relaxed structure of Pr2DyAl6.

magnetic moment	0.00	μB/cell
SG	Immm, No. 71
density of states at the Fermi level	0.59	states/eV/atom

Lattice parameters (Å, degrees): 4.4715 8.1049 8.1049 53.29 73.99 73.99
Fractional coordinates of all 9 atoms:
Dy 0.5000 0.5000 0.5000
Al 0.0000 0.1949 0.8051
Al 0.1813 0.5076 0.1297
Al 0.0000 0.8051 0.1949
Al 0.8187 0.4924 0.8703
Al 0.1813 0.1297 0.5076
Al 0.8187 0.8703 0.4924
Pr 0.3749 0.1251 0.1251
Pr 0.6251 0.8749 0.8749

So which one wins? Going from most stable to least: A, B.

A:
## Pr2Dy2Al (PBE)

Data for a relaxed structure of Pr2Dy2Al.

magnetic moment	0.00	μB/cell
SG	I4/mmm, No. 139
density of states at the Fermi level	1.41	states/eV/atom

Lattice parameters (Å, degrees): 4.3153 4.3153 9.3767 103.30 103.30 90.00
Fractional coordinates of all 5 atoms:
Al 0.0000 0.0000 0.0000
Dy 0.5839 0.5839 0.1678
Dy 0.4161 0.4161 0.8322
Pr 0.7500 0.2500 0.5000
Pr 0.2500 0.7500 0.5000

B:
## Pr2Dy2Al (PBE)

Data for a relaxed structure of Pr2Dy2Al.

magnetic moment	0.00	μB/cell
SG	I4/mmm, No. 139
density of states at the Fermi level	1.17	states/eV/atom

Lattice parameters (Å, degrees): 3.5763 3.5763 12.1325 98.48 98.48 90.00
Fractional coordinates of all 5 atoms:
Dy 0.4205 0.4205 0.8410
Dy 0.5795 0.5795 0.1590
Al 0.0000 0.0000 0.0000
Pr 0.8090 0.8090 0.6179
Pr 0.1910 0.1910 0.3821

So which one wins? Going from most stable to least: B, A.

A:
## PrDy2Al (PBE)

Data for a relaxed structure of PrDy2Al.

magnetic moment	0.00	μB/cell
SG	R3m, No. 160
density of states at the Fermi level	1.18	states/eV/atom

Lattice parameters (Å, degrees): 3.6109 3.6109 10.7738 80.35 80.35 60.00
Fractional coordinates of all 4 atoms:
Al 0.6663 0.6663 0.0010
Dy 0.2626 0.2626 0.2122
Dy 0.0708 0.0708 0.7874
Pr 0.5002 0.5002 0.4993

B:
## PrDy2Al (PBE)

Data for a relaxed structure of PrDy2Al.

magnetic moment	0.00	μB/cell
SG	P4/mmm, No. 123
density of states at the Fermi level	1.34	states/eV/atom

Lattice parameters (Å, degrees): 4.8034 4.8299 4.8299 90.00 90.00 90.00
Fractional coordinates of all 4 atoms:
Pr 0.5000 0.0000 0.0000
Al 0.5000 0.5000 0.5000
Dy 0.0000 0.0000 0.5000
Dy 0.0000 0.5000 0.0000

C:
## PrDy2Al (PBE)

Data for a relaxed structure of PrDy2Al.

magnetic moment	0.00	μB/cell
SG	Amm2, No. 38
density of states at the Fermi level	1.02	states/eV/atom

Lattice parameters (Å, degrees): 5.3280 6.9605 6.9605 119.97 90.00 90.00
Fractional coordinates of all 8 atoms:
Dy 0.5000 0.1762 0.8238
Dy 0.0000 0.3534 0.1730
Dy 0.0000 0.8270 0.6466
Dy 0.0000 0.8250 0.1750
Al 0.5000 0.6678 0.3322
Al 0.0000 0.3275 0.6725
Pr 0.5000 0.1774 0.3540
Pr 0.5000 0.6460 0.8226

So which one wins? Going from most stable to least: C, B, A.

A:
## PrDy2Al (PBE)

Data for a relaxed structure of PrDy2Al.

magnetic moment	1.25	μB/cell
SG	Fm-3m, No. 225
density of states at the Fermi level	1.56	states/eV/atom

Lattice parameters (Å, degrees): 5.4134 5.4134 5.4134 60.00 60.00 60.00
Site moments in Bohr magnetons follow the coordinates.
Fractional coordinates of all 4 atoms:
Al 0.0000 0.0000 0.0000  0.00
Pr 0.5000 0.5000 0.5000  0.32
Dy 0.2500 0.2500 0.2500  0.28
Dy 0.7500 0.7500 0.7500  0.28

B:
## PrDy2Al (PBE)

Data for a relaxed structure of PrDy2Al.

magnetic moment	0.00	μB/cell
SG	P4/mmm, No. 123
density of states at the Fermi level	0.83	states/eV/atom

Lattice parameters (Å, degrees): 3.5480 3.5480 9.1327 90.00 90.00 90.00
Fractional coordinates of all 4 atoms:
Dy 0.0000 0.0000 0.7922
Dy 0.0000 0.0000 0.2078
Pr 0.5000 0.5000 0.5000
Al 0.5000 0.5000 0.0000

So which one wins? Going from most stable to least: B, A.

A:
## PrDy4Al2 (PBE)

Data for a relaxed structure of PrDy4Al2.

magnetic moment	0.00	μB/cell
SG	R-3m, No. 166
density of states at the Fermi level	0.74	states/eV/atom

Lattice parameters (Å, degrees): 5.3351 5.3351 8.4380 71.57 71.57 60.00
Fractional coordinates of all 7 atoms:
Al 0.2819 0.2819 0.1544
Al 0.7181 0.7181 0.8456
Dy 0.1544 0.1544 0.5367
Dy 0.4198 0.4198 0.7406
Dy 0.8456 0.8456 0.4633
Dy 0.5802 0.5802 0.2594
Pr 0.0000 0.0000 0.0000

B:
## PrDy4Al2 (PBE)

Data for a relaxed structure of PrDy4Al2.

magnetic moment	0.00	μB/cell
SG	I4/mmm, No. 139
density of states at the Fermi level	1.36	states/eV/atom

Lattice parameters (Å, degrees): 5.6760 5.6760 7.5277 112.15 112.15 90.00
Fractional coordinates of all 7 atoms:
Dy 0.5000 0.0000 0.0000
Dy 0.0000 0.5000 0.0000
Dy 0.7500 0.2500 0.5000
Dy 0.2500 0.7500 0.5000
Pr 0.0000 0.0000 0.0000
Al 0.3855 0.3855 0.7711
Al 0.6145 0.6145 0.2289

So which one wins? Going from most stable to least: A, B.

A:
## DyPuAl6 (PBE)

Data for a relaxed structure of DyPuAl6.

magnetic moment	5.74	μB/cell
SG	Pmm2, No. 25
density of states at the Fermi level	1.64	states/eV/atom

Lattice parameters (Å, degrees): 4.4589 5.9349 5.9814 90.00 90.00 90.00
Site moments in Bohr magnetons follow the coordinates.
Fractional coordinates of all 8 atoms:
Al 0.5000 0.8577 0.2512  0.01
Al 0.0000 0.1361 0.7604  -0.01
Al 0.0000 0.1361 0.2396  -0.01
Al 0.5000 0.8577 0.7488  0.01
Al 0.5000 0.2644 0.0000  0.00
Al 0.0000 0.7463 0.5000  0.00
Dy 0.5000 0.3864 0.5000  -0.03
Pu 0.0000 0.6152 0.0000  5.27

B:
## DyPuAl6 (PBE)

Data for a relaxed structure of DyPuAl6.

magnetic moment	0.12	μB/cell
SG	Amm2, No. 38
density of states at the Fermi level	1.39	states/eV/atom

Lattice parameters (Å, degrees): 4.6827 6.1166 6.1166 120.16 90.00 90.00
Site moments in Bohr magnetons follow the coordinates.
Fractional coordinates of all 8 atoms:
Pu 0.5000 0.4174 0.5826  -0.13
Al 0.5000 0.9024 0.5546  0.01
Al 0.5000 0.4454 0.0976  0.01
Al 0.0000 0.5922 0.9363  0.00
Al 0.0000 0.5938 0.4062  0.01
Al 0.0000 0.0637 0.4078  0.00
Al 0.5000 0.9021 0.0979  0.00
Dy 0.0000 0.0827 0.9173  -0.01

So which one wins? Going from most stable to least: A, B.